[1]
Rb3Ce2PaSe6 | PBE-GGA | optimized geometry

Lattice parameters (Å, degrees): 7.519 7.519 8.432 98.55 98.55 119.99
Site moments in Bohr magnetons follow the coordinates.
Element x y z (fractional)
Se (0.610, 0.933, 0.800)  -0.03
Se (0.933, 0.610, 0.800)  -0.03
Se (0.744, 0.744, 0.201)  -0.03
Se (0.256, 0.256, 0.799)  -0.03
Se (0.067, 0.390, 0.200)  -0.03
Se (0.390, 0.067, 0.200)  -0.03
Rb (0.169, 0.831, 0.500)  0.00
Rb (0.500, 0.500, 0.500)  0.00
Rb (0.831, 0.169, 0.500)  0.00
Ce (0.334, 0.666, 0.000)  1.09
Ce (0.666, 0.334, 0.000)  1.09
Pa (0.000, 0.000, 0.000)  1.26

## Properties
Energy relative to the elements, uncorrected (eV per atom): -1.54
SG: C2/m, No. 12
Spin magnetization (μB per formula unit): 4.03
Raw total energy (Ha/atom): -0.195



[2]
La2Nd4Ge3O2 | PBE-GGA | optimized geometry

Lattice parameters (Å, degrees): 4.759 4.759 12.904 100.63 100.63 90.00
Element x y z (fractional)
Nd (0.579, 0.079, 0.157)
Nd (0.079, 0.579, 0.157)
Nd (0.921, 0.421, 0.843)
Nd (0.421, 0.921, 0.843)
La (0.697, 0.697, 0.394)
La (0.303, 0.303, 0.606)
Ge (0.174, 0.174, 0.347)
Ge (0.000, 0.000, 0.000)
Ge (0.826, 0.826, 0.653)
O (0.601, 0.601, 0.203)
O (0.399, 0.399, 0.797)

## Properties
Energy relative to the elements, uncorrected (eV per atom): -1.51
SG: I4/mmm, No. 139
Spin magnetization (μB per formula unit): 0.00
Raw total energy (Ha/atom): -0.232



[3]
Te2RuAuI | PBE-GGA | optimized geometry

Lattice parameters (Å, degrees): 5.101 5.101 5.670 90.00 90.00 90.00
Element x y z (fractional)
I (0.000, 0.000, 0.500)
Ru (0.000, 0.000, 0.000)
Te (0.500, 0.000, 0.000)
Te (0.000, 0.500, 0.000)
Au (0.500, 0.500, 0.500)

## Properties
Energy relative to the elements, uncorrected (eV per atom): 0.63
SG: P4/mmm, No. 123
Spin magnetization (μB per formula unit): 0.00
Polymorph energy (0 for the lowest one) (eV/f.u.): 0.000
Raw total energy (Ha/atom): -0.127



[4]
In3AgW | PBE-GGA | optimized geometry

Lattice parameters (Å, degrees): 5.202 5.202 5.202 90.00 90.00 90.00
Site moments in Bohr magnetons follow the coordinates.
Element x y z (fractional)
In (0.000, 0.500, 0.000)  -0.03
In (0.500, 0.000, 0.000)  -0.01
In (0.000, 0.000, 0.500)  -0.05
Ag (0.000, 0.000, 0.000)  -0.01
W (0.500, 0.500, 0.500)  2.98

## Properties
SG: Pm-3m, No. 221
Spin magnetization (μB per formula unit): 3.78
Polymorph energy (0 for the lowest one) (eV/f.u.): 2.465
Formation enthalpy at 0 K (eV per atom): 1.356
Raw total energy (Ha/atom): -0.127